Entry 1:
First-principles (PBE) data for crystalline MgCrSn3 at its relaxed geometry, as listed in the Alexandria database.

a = 5.0869 Å, b = 5.0869 Å, c = 5.0869 Å
α = 90.00°, β = 90.00°, γ = 90.00°
Last column: nearest neighbours and their distance in Å.
Fractional coordinates of all 5 atoms:
Cr  0.0000  0.0000  0.0000  6 Sn 2.54
Mg  0.5000  0.5000  0.5000  12 Sn 3.60
Sn  0.0000  0.5000  0.0000  2 Cr 2.54
Sn  0.0000  0.0000  0.5000  2 Cr 2.54
Sn  0.5000  0.0000  0.0000  2 Cr 2.54

* M_tot: 0.0 μB/cell
* E above lowest polymorph: 0.00 eV/f.u.

=====

Entry 2:
First-principles (PBE) data for crystalline TbGa2Hg at its relaxed geometry, as listed in the Alexandria database.

a = 4.3796 Å, b = 6.2847 Å, c = 7.5149 Å
α = 90.00°, β = 90.00°, γ = 110.46°
Last column: nearest neighbours and their distance in Å.
Fractional coordinates of all 8 atoms:
Tb  0.9070  0.8138  0.2500  6 Ga 2.97-3.29, 2 Hg 3.00
Tb  0.0930  0.1862  0.7500  6 Ga 2.97-3.29, 2 Hg 3.00
Ga  0.2287  0.4570  0.4168  3 Ga 2.51-2.57
Ga  0.7713  0.5430  0.5832  3 Ga 2.51-2.57
Ga  0.2287  0.4570  0.0832  3 Ga 2.51-2.57
Ga  0.7713  0.5430  0.9168  3 Ga 2.51-2.57
Hg  0.4183  0.8380  0.7500  2 Tb 3.00, 4 Ga 3.06-3.07
Hg  0.5817  0.1620  0.2500  2 Tb 3.00, 4 Ga 3.06-3.07

* M_tot: 0.0 μB/cell
* E above lowest polymorph: 0.71 eV/f.u.